i:
Density functional theory data (PBE) for crystalline LiIn2F2 at its relaxed geometry. Values from VASP.

Structure (Quantum ESPRESSO input):
```
&SYSTEM
  ibrav = 0, nat = 10, ntyp = 3
/
ATOMIC_SPECIES
F 19.00 F.upf
In 114.82 In.upf
Li 6.94 Li.upf
CELL_PARAMETERS angstrom
5.9787 0.0000 0.0000
0.0000 5.9787 0.0000
0.0000 0.0000 4.9039
ATOMIC_POSITIONS angstrom
F 1.3506 4.3400 0.0000
F 1.6388 1.3506 0.0000
F 4.3400 4.6282 0.0000
F 4.6282 1.6388 0.0000
In 4.1170 4.8511 2.4520
In 4.8511 1.8617 2.4520
In 1.1277 4.1170 2.4520
In 1.8617 1.1277 2.4520
Li 2.9894 2.9894 0.0000
Li 0.0000 0.0000 0.0000
```

Output
Its total moment is 0.0000 μB per atom. As for the density of states at the Fermi level: 1.7 states/eV per cell. The space group is P4/mbm. As for the crystal system: tetragonal.

---

ii:
Density functional theory data (PBE) for crystalline LiIn2F2 at its relaxed geometry. Values from VASP.

Structure (Quantum ESPRESSO input):
```
&SYSTEM
  ibrav = 0, nat = 5, ntyp = 3
/
ATOMIC_SPECIES
F 19.00 F.upf
In 114.82 In.upf
Li 6.94 Li.upf
CELL_PARAMETERS angstrom
4.0199 0.0000 0.0000
0.0000 4.0199 0.0000
2.0099 2.0099 6.8185
ATOMIC_POSITIONS angstrom
F 4.0199 4.0199 5.4199
F 2.0099 2.0099 1.3986
In 2.0099 4.0199 3.4092
In 4.0199 2.0099 3.4092
Li 0.0000 0.0000 0.0000
```

Output
Its total moment is 0.0000 μB per atom. As for the density of states at the Fermi level: 1.6 states/eV per cell. The space group is I4/mmm. As for the crystal system: tetragonal.

---

Best to worst by energy: i, ii.

---

i:
Density functional theory data (PBE) for crystalline Na2LiInF6 at its relaxed geometry. Values from VASP.

Structure (Quantum ESPRESSO input):
```
&SYSTEM
  ibrav = 0, nat = 20, ntyp = 4
/
ATOMIC_SPECIES
Na 22.99 Na.upf
F 19.00 F.upf
Li 6.94 Li.upf
In 114.82 In.upf
CELL_PARAMETERS angstrom
5.5456 0.0000 0.0583
0.0000 5.7268 0.0000
0.1332 0.0000 8.0176
ATOMIC_POSITIONS angstrom
Na 5.5288 0.3317 6.0255
Na 2.6894 2.5317 1.9876
Na 2.9894 3.1951 6.0883
Na 0.1500 5.3951 2.0504
F 1.1090 1.1546 0.5384
F 0.7591 2.5812 6.0274
F 1.6981 4.0231 0.4741
F 1.7304 4.0180 3.4995
F 4.5375 4.5671 4.5121
F 3.4653 0.2822 2.0477
F 2.2135 5.4446 6.0282
F 1.1413 1.1597 3.5638
F 4.5698 4.5722 7.5375
F 3.9484 1.7088 4.5764
F 3.9807 1.7037 7.6018
F 4.9197 3.1456 2.0485
Li 0.0666 2.8634 4.0088
Li 2.7728 0.0000 0.0292
In 0.0000 2.8634 0.0000
In 2.8394 0.0000 4.0379
```

Output
Its total moment is 0.0057 μB per atom. As for the density of states at the Fermi level: 0.0 states/eV per cell. The space group is P2_1/c. As for the crystal system: monoclinic.

---

ii:
Density functional theory data (PBE) for crystalline Na2LiInF6 at its relaxed geometry. Values from VASP.

Structure (Quantum ESPRESSO input):
```
&SYSTEM
  ibrav = 0, nat = 10, ntyp = 4
/
ATOMIC_SPECIES
F 19.00 F.upf
In 114.82 In.upf
Na 22.99 Na.upf
Li 6.94 Li.upf
CELL_PARAMETERS angstrom
0.0000 4.0827 4.0827
4.0827 0.0000 4.0827
4.0827 4.0827 0.0000
ATOMIC_POSITIONS angstrom
F 4.0827 2.0825 4.0827
F 2.0825 4.0827 4.0827
F 4.0827 6.0830 4.0827
F 4.0827 4.0827 2.0825
F 6.0830 4.0827 4.0827
F 4.0827 4.0827 6.0830
In 0.0000 0.0000 0.0000
Na 2.0414 2.0414 2.0414
Na 6.1241 6.1241 6.1241
Li 4.0827 4.0827 4.0827
```

Output
Its total moment is 0.0000 μB per atom. As for the density of states at the Fermi level: 0.0 states/eV per cell. The space group is Fm-3m. As for the crystal system: cubic.

---

Best to worst by energy: i, ii.

---

i:
Density functional theory data (PBE) for crystalline LiInOF2 at its relaxed geometry. Values from VASP.

Structure (Quantum ESPRESSO input):
```
&SYSTEM
  ibrav = 0, nat = 5, ntyp = 4
/
ATOMIC_SPECIES
In 114.82 In.upf
O 16.00 O.upf
Li 6.94 Li.upf
F 19.00 F.upf
CELL_PARAMETERS angstrom
-2.7519 -3.0321 1.4303
3.3205 -2.7203 0.6221
0.4289 1.3822 3.7552
ATOMIC_POSITIONS angstrom
In 0.0000 0.0000 0.0000
O 0.2144 0.6911 1.8776
Li 0.4987 -2.1851 2.9038
F -1.3760 -1.5160 0.7152
F 1.6603 -1.3601 0.3110
```

Output
Its total moment is 0.0000 μB per atom. As for the density of states at the Fermi level: 0.0 states/eV per cell. The space group is P4/mmm. As for the crystal system: tetragonal.

---

ii:
Density functional theory data (PBE) for crystalline LiInOF2 at its relaxed geometry. Values from VASP.

Structure (Quantum ESPRESSO input):
```
&SYSTEM
  ibrav = 0, nat = 5, ntyp = 4
/
ATOMIC_SPECIES
F 19.00 F.upf
Li 6.94 Li.upf
O 16.00 O.upf
In 114.82 In.upf
CELL_PARAMETERS angstrom
-1.7612 0.7236 -2.9306
-2.8867 -1.3958 1.3901
-1.0389 3.6738 1.5315
ATOMIC_POSITIONS angstrom
F -0.8806 0.3618 -1.4653
F -1.4433 -0.6979 0.6951
Li 0.0000 0.0000 0.0000
O -0.5194 1.8369 0.7658
In -2.8434 1.5008 -0.0044
```

Output
Its total moment is 0.0000 μB per atom. As for the density of states at the Fermi level: 0.1 states/eV per cell. The space group is P4/mmm. As for the crystal system: tetragonal.

---

Best to worst by energy: i, ii.

---

i:
Density functional theory data (PBE) for crystalline MgIn2F at its relaxed geometry. Values from VASP.

Structure (Quantum ESPRESSO input):
```
&SYSTEM
  ibrav = 0, nat = 8, ntyp = 3
/
ATOMIC_SPECIES
In 114.82 In.upf
Mg 24.30 Mg.upf
F 19.00 F.upf
CELL_PARAMETERS angstrom
5.2733 0.0000 0.0000
0.0000 5.2733 0.0000
2.6366 2.6366 7.7377
ATOMIC_POSITIONS angstrom
In 3.9549 4.4812 5.8033
In 3.4287 1.3183 1.9344
In 1.8446 3.9549 1.9344
In 6.5916 6.0653 5.8033
Mg 5.2733 2.6366 3.8689
Mg 0.0000 0.0000 0.0000
F 2.6366 5.2733 3.8689
F 2.6366 2.6366 0.0000
```

Output
Its total moment is 0.0000 μB per atom. As for the density of states at the Fermi level: 3.6 states/eV per cell. The space group is I-42d. As for the crystal system: tetragonal.

---

ii:
Density functional theory data (PBE) for crystalline MgIn2F at its relaxed geometry. Values from VASP.

Structure (Quantum ESPRESSO input):
```
&SYSTEM
  ibrav = 0, nat = 4, ntyp = 3
/
ATOMIC_SPECIES
In 114.82 In.upf
F 19.00 F.upf
Mg 24.30 Mg.upf
CELL_PARAMETERS angstrom
0.0000 3.5267 3.5267
3.5267 0.0000 3.5267
3.5267 3.5267 0.0000
ATOMIC_POSITIONS angstrom
In 5.2900 5.2900 5.2900
In 1.7633 1.7633 1.7633
F 0.0000 0.0000 0.0000
Mg 3.5267 3.5267 3.5267
```

Output
Its total moment is 0.0000 μB per atom. As for the density of states at the Fermi level: 2.5 states/eV per cell. The space group is Fm-3m. As for the crystal system: cubic.

---

Best to worst by energy: i, ii.

---

i:
Density functional theory data (PBE) for crystalline MgIn3F at its relaxed geometry. Values from VASP.

Structure (Quantum ESPRESSO input):
```
&SYSTEM
  ibrav = 0, nat = 5, ntyp = 3
/
ATOMIC_SPECIES
F 19.00 F.upf
In 114.82 In.upf
Mg 24.30 Mg.upf
CELL_PARAMETERS angstrom
5.4995 0.0000 0.0000
0.0000 5.4995 0.0000
0.0000 0.0000 5.4995
ATOMIC_POSITIONS angstrom
F 2.7497 2.7497 2.7497
In 0.0000 2.7497 0.0000
In 2.7497 0.0000 0.0000
In 0.0000 0.0000 2.7497
Mg 0.0000 0.0000 0.0000
```

Output
Its total moment is 0.0000 μB per atom. As for the density of states at the Fermi level: 3.3 states/eV per cell. The space group is Pm-3m. As for the crystal system: cubic.

---

ii:
Density functional theory data (PBE) for crystalline MgIn3F at its relaxed geometry. Values from VASP.

Structure (Quantum ESPRESSO input):
```
&SYSTEM
  ibrav = 0, nat = 5, ntyp = 3
/
ATOMIC_SPECIES
F 19.00 F.upf
In 114.82 In.upf
Mg 24.30 Mg.upf
CELL_PARAMETERS angstrom
-1.5332 4.7694 0.3726
-4.2854 -1.1953 -2.3331
-2.1264 -1.0299 4.4334
ATOMIC_POSITIONS angstrom
F 0.0000 0.0000 0.0000
In -1.0632 -0.5149 2.2167
In -0.7666 2.3847 0.1863
In -2.1427 -0.5977 -1.1665
Mg -3.9725 1.2721 1.2364
```

Output
Its total moment is 0.0000 μB per atom. As for the density of states at the Fermi level: 2.7 states/eV per cell. The space group is Pm-3m. As for the crystal system: cubic.

---

Best to worst by energy: ii, i.

---

i:
Density functional theory data (PBE) for crystalline Mg3InF at its relaxed geometry. Values from VASP.

Structure (Quantum ESPRESSO input):
```
&SYSTEM
  ibrav = 0, nat = 5, ntyp = 3
/
ATOMIC_SPECIES
Mg 24.30 Mg.upf
In 114.82 In.upf
F 19.00 F.upf
CELL_PARAMETERS angstrom
5.3218 0.0000 0.0000
0.0000 5.3218 0.0000
0.0000 0.0000 5.3218
ATOMIC_POSITIONS angstrom
Mg 2.6609 0.0000 0.0000
Mg 0.0000 2.6609 0.0000
Mg 0.0000 0.0000 2.6609
In 0.0000 0.0000 0.0000
F 2.6609 2.6609 2.6609
```

Output
Its total moment is 0.0000 μB per atom. As for the density of states at the Fermi level: 0.0 states/eV per cell. The space group is Pm-3m. As for the crystal system: cubic.

---

ii:
Density functional theory data (PBE) for crystalline Mg3InF at its relaxed geometry. Values from VASP.

Structure (Quantum ESPRESSO input):
```
&SYSTEM
  ibrav = 0, nat = 5, ntyp = 3
/
ATOMIC_SPECIES
In 114.82 In.upf
Mg 24.30 Mg.upf
F 19.00 F.upf
CELL_PARAMETERS angstrom
4.5879 0.0000 0.0000
0.0000 4.5879 0.0000
0.0000 0.0000 4.5879
ATOMIC_POSITIONS angstrom
In 2.2939 2.2939 2.2939
Mg 2.2939 0.0000 0.0000
Mg 0.0000 2.2939 0.0000
Mg 0.0000 0.0000 2.2939
F 0.0000 0.0000 0.0000
```

Output
Its total moment is 0.0000 μB per atom. As for the density of states at the Fermi level: 1.7 states/eV per cell. The space group is Pm-3m. As for the crystal system: cubic.

---

Best to worst by energy: ii, i.

---

i:
Density functional theory data (PBE) for crystalline Mg2In2F at its relaxed geometry. Values from VASP.

Structure (Quantum ESPRESSO input):
```
&SYSTEM
  ibrav = 0, nat = 10, ntyp = 3
/
ATOMIC_SPECIES
In 114.82 In.upf
Mg 24.30 Mg.upf
F 19.00 F.upf
CELL_PARAMETERS angstrom
6.1949 0.0000 0.0000
0.0000 6.1949 0.0000
0.0000 0.0000 5.4820
ATOMIC_POSITIONS angstrom
In 5.1311 2.0336 2.7410
In 2.0336 1.0638 2.7410
In 4.1613 5.1311 2.7410
In 1.0638 4.1613 2.7410
Mg 5.0976 4.1948 0.0000
Mg 1.0973 2.0001 0.0000
Mg 4.1948 1.0973 0.0000
Mg 2.0001 5.0976 0.0000
F 3.0975 3.0975 0.0000
F 0.0000 0.0000 0.0000
```

Output
Its total moment is 0.0000 μB per atom. As for the density of states at the Fermi level: 3.9 states/eV per cell. The space group is P4/mbm. As for the crystal system: tetragonal.

---

ii:
Density functional theory data (PBE) for crystalline Mg2In2F at its relaxed geometry. Values from VASP.

Structure (Quantum ESPRESSO input):
```
&SYSTEM
  ibrav = 0, nat = 5, ntyp = 3
/
ATOMIC_SPECIES
Mg 24.30 Mg.upf
In 114.82 In.upf
F 19.00 F.upf
CELL_PARAMETERS angstrom
-0.0253 4.0358 -0.4704
-2.9611 -0.3404 -2.7614
-6.8368 2.4731 4.0371
ATOMIC_POSITIONS angstrom
Mg -7.3620 4.2075 1.3972
Mg -2.4612 1.9610 -0.5919
In -4.1776 4.1783 0.9754
In -5.6455 1.9902 -0.1701
F 0.0000 0.0000 0.0000
```

Output
Its total moment is 0.0000 μB per atom. As for the density of states at the Fermi level: 2.3 states/eV per cell. The space group is I4/mmm. As for the crystal system: tetragonal.

---

Best to worst by energy: i, ii.

---

i:
Density functional theory data (PBE) for crystalline MgInN2F at its relaxed geometry. Values from VASP.

Structure (Quantum ESPRESSO input):
```
&SYSTEM
  ibrav = 0, nat = 5, ntyp = 4
/
ATOMIC_SPECIES
In 114.82 In.upf
N 14.01 N.upf
F 19.00 F.upf
Mg 24.30 Mg.upf
CELL_PARAMETERS angstrom
-0.7060 -4.0821 0.5486
3.9596 -0.8260 -1.0501
1.0103 0.3050 3.5697
ATOMIC_POSITIONS angstrom
In 2.1319 -2.3015 1.5341
N -0.3530 -2.0410 0.2743
N 1.9798 -0.4130 -0.5250
F 0.5051 0.1525 1.7848
Mg 0.0000 0.0000 0.0000
```

Output
Its total moment is 0.4315 μB per atom. As for the density of states at the Fermi level: 2.8 states/eV per cell. The space group is P4/mmm. As for the crystal system: tetragonal.

---

ii:
Density functional theory data (PBE) for crystalline MgInN2F at its relaxed geometry. Values from VASP.

Structure (Quantum ESPRESSO input):
```
&SYSTEM
  ibrav = 0, nat = 5, ntyp = 4
/
ATOMIC_SPECIES
N 14.01 N.upf
In 114.82 In.upf
Mg 24.30 Mg.upf
F 19.00 F.upf
CELL_PARAMETERS angstrom
4.2171 0.0000 0.0000
0.0000 4.2171 0.0000
0.0000 0.0000 4.2808
ATOMIC_POSITIONS angstrom
N 0.0000 2.1085 0.0000
N 2.1085 0.0000 0.0000
In 0.0000 0.0000 0.0000
Mg 2.1085 2.1085 2.1404
F 0.0000 0.0000 2.1404
```

Output
Its total moment is 0.2726 μB per atom. As for the density of states at the Fermi level: 2.4 states/eV per cell. The space group is P4/mmm. As for the crystal system: tetragonal.

---

Best to worst by energy: i, ii.